Computed, not measured: an optimized crystal structure of PuMnSiTc at the PBE level of DFT.

* space-group type: F-43m
* calculated volume: 15.336 A^3/atom
* D(E_F): 5.33 states/eV/cell
* E_form (uncorrected): -0.2000 eV per atom

abc: 4.4269 4.4269 4.4269
angles: 60.00 60.00 60.00
Atoms (fractional coordinates):
1 Pu 0.0000 0.0000 0.0000
2 Mn 0.7500 0.7500 0.7500
3 Si 0.5000 0.5000 0.5000
4 Tc 0.2500 0.2500 0.2500